[1]
Compound: NbGeRh5
Source: Alexandria via LeMat-Bulk
Functional: PBE-GGA
Structure: optimized geometry

```
NbGeRh5
1.0
-1.092 0.597 3.771
2.325 -3.006 1.149
5.195 4.331 0.818
Nb Ge Rh
1 1 5
Direct
0.000 0.000 0.500 Nb
0.500 0.500 0.000 Ge
0.000 0.500 0.779 Rh
0.000 0.500 0.221 Rh
0.500 0.000 0.779 Rh
0.500 0.000 0.221 Rh
0.500 0.500 0.500 Rh
```

Computed properties:
energy of formation: -442 meV/atom
total magnetic moment: 0.00 μB/f.u.

[2]
Compound: Nb3Ge4Rh
Source: Alexandria via LeMat-Bulk
Functional: PBE-GGA
Structure: optimized geometry

```
Nb3Ge4Rh
1.0
-4.129 -2.808 -1.399
-1.325 -1.551 7.024
-4.967 7.001 0.609
Nb Ge Rh
6 8 2
Direct
0.630 0.846 0.000 Nb
0.117 0.668 0.242 Nb
0.617 0.332 0.258 Nb
0.130 0.154 0.500 Nb
0.617 0.332 0.742 Nb
0.117 0.668 0.758 Nb
0.129 0.883 0.000 Ge
0.407 0.184 0.000 Ge
0.118 0.314 0.230 Ge
0.618 0.686 0.270 Ge
0.907 0.816 0.500 Ge
0.629 0.117 0.500 Ge
0.618 0.686 0.730 Ge
0.118 0.314 0.770 Ge
0.880 0.181 0.000 Rh
0.380 0.819 0.500 Rh
```

Computed properties:
energy of formation: 12 meV/atom
total magnetic moment: 0.00 μB/f.u.

[3]
Compound: Nb4Ge6Rh7
Source: Alexandria via LeMat-Bulk
Functional: PBE-GGA
Structure: optimized geometry

```
Nb4Ge6Rh7
1.0
-3.729 -4.691 3.646
5.309 -3.243 -3.240
2.546 4.865 4.365
Nb Ge Rh
4 6 7
Direct
0.500 0.000 0.000 Nb
0.500 0.500 0.500 Nb
0.000 0.500 0.000 Nb
0.000 0.000 0.500 Nb
0.689 0.000 0.689 Ge
0.689 0.689 0.000 Ge
0.000 0.311 0.311 Ge
0.311 0.000 0.311 Ge
0.311 0.311 0.000 Ge
0.000 0.689 0.689 Ge
0.750 0.500 0.250 Rh
0.250 0.750 0.500 Rh
0.500 0.750 0.250 Rh
0.750 0.250 0.500 Rh
0.250 0.500 0.750 Rh
0.500 0.250 0.750 Rh
0.000 0.000 0.000 Rh
```

Computed properties:
energy of formation: -445 meV/atom
total magnetic moment: 2.62 μB/f.u.

[4]
Compound: NbGe3Rh
Source: Alexandria via LeMat-Bulk
Functional: PBE-GGA
Structure: optimized geometry

```
NbGe3Rh
1.0
-4.542 -1.110 0.763
1.311 -4.260 1.608
0.309 1.752 4.391
Nb Rh Ge
1 1 3
Direct
0.500 0.500 0.500 Nb
0.000 0.000 0.000 Rh
0.000 0.500 0.000 Ge
0.000 0.000 0.500 Ge
0.500 0.000 0.000 Ge
```

Computed properties:
energy of formation: 718 meV/atom
energy above the most stable polymorph in this dataset: 0.0 meV/atom
total magnetic moment: 2.44 μB/f.u.

[5]
Compound: Nb2GeRh5
Source: Alexandria via LeMat-Bulk
Functional: PBE-GGA
Structure: optimized geometry

```
Nb2GeRh5
1.0
4.014 0.000 0.000
0.000 5.536 0.000
0.000 0.000 10.851
Nb Ge Rh
4 2 10
Direct
0.500 0.319 0.358 Nb
0.500 0.681 0.642 Nb
0.500 0.181 0.858 Nb
0.500 0.819 0.142 Nb
0.000 0.000 0.500 Ge
0.000 0.500 0.000 Ge
0.500 0.310 0.108 Rh
0.500 0.690 0.892 Rh
0.500 0.810 0.392 Rh
0.500 0.190 0.608 Rh
0.000 0.939 0.746 Rh
0.000 0.061 0.254 Rh
0.000 0.439 0.754 Rh
0.000 0.561 0.246 Rh
0.000 0.500 0.500 Rh
0.000 0.000 0.000 Rh
```

Computed properties:
energy of formation: -526 meV/atom
total magnetic moment: 0.00 μB/f.u.

[6]
Compound: Nb3GeRh
Source: Alexandria via LeMat-Bulk
Functional: PBE-GGA
Structure: optimized geometry

```
Nb3GeRh
1.0
4.696 0.000 0.000
0.000 4.696 0.000
0.000 0.000 4.696
Nb Rh Ge
3 1 1
Direct
0.000 0.500 0.000 Nb
0.000 0.000 0.500 Nb
0.500 0.000 0.000 Nb
0.500 0.500 0.500 Rh
0.000 0.000 0.000 Ge
```

Computed properties:
energy of formation: 967 meV/atom
total magnetic moment: 0.00 μB/f.u.